# MgCu2AgCl6 | Alexandria | GGA-PBE | optimized geometry
data_MgCu2AgCl6
_chemical_formula_sum 'Mg2 Cu4 Ag2 Cl12'
_symmetry_space_group_name_H-M 'P 1'
_symmetry_Int_Tables_number 1
_symmetry_space_group_name_Hall 'P 1'
_cell_length_a 8.312
_cell_length_b 8.312
_cell_length_c 6.590
_cell_angle_alpha 96.35
_cell_angle_beta 96.35
_cell_angle_gamma 86.97
loop_
_atom_site_label
_atom_site_fract_x
_atom_site_fract_y
_atom_site_fract_z
Mg1 0.234 0.766 0.750
Mg2 0.766 0.234 0.250
Cu1 0.087 0.271 0.801
Cu2 0.271 0.087 0.301
Cu3 0.729 0.913 0.699
Cu4 0.913 0.729 0.199
Ag1 0.416 0.584 0.250
Ag2 0.584 0.416 0.750
Cl1 0.048 0.209 0.124
Cl2 0.128 0.639 0.405
Cl3 0.209 0.048 0.624
Cl4 0.276 0.477 0.861
Cl5 0.361 0.872 0.095
Cl6 0.477 0.276 0.361
Cl7 0.523 0.724 0.639
Cl8 0.639 0.128 0.905
Cl9 0.724 0.523 0.139
Cl10 0.791 0.952 0.376
Cl11 0.872 0.361 0.595
Cl12 0.952 0.791 0.876
# - uncorrected formation energy (eV per atom) = -0.863
# - D(E_F) (states/eV/cell) = 20.46
# - DFT total energy (eV per cell) = -64.7

***

# MgCuAgCl5 | Alexandria | GGA-PBE | optimized geometry
data_MgCuAgCl5
_chemical_formula_sum 'Mg2 Cu2 Ag2 Cl10'
_symmetry_space_group_name_H-M 'P 1'
_symmetry_Int_Tables_number 1
_symmetry_space_group_name_Hall 'P 1'
_cell_length_a 6.834
_cell_length_b 6.834
_cell_length_c 9.362
_cell_angle_alpha 102.77
_cell_angle_beta 102.77
_cell_angle_gamma 110.25
loop_
_atom_site_label
_atom_site_fract_x
_atom_site_fract_y
_atom_site_fract_z
Mg1 0.000 0.500 0.000
Mg2 0.500 0.000 0.500
Cu1 0.070 0.930 0.750
Cu2 0.930 0.070 0.250
Ag1 0.421 0.579 0.750
Ag2 0.579 0.421 0.250
Cl1 0.177 0.770 0.563
Cl2 0.188 0.301 0.867
Cl3 0.230 0.823 0.937
Cl4 0.301 0.188 0.367
Cl5 0.341 0.659 0.250
Cl6 0.659 0.341 0.750
Cl7 0.699 0.812 0.633
Cl8 0.770 0.177 0.063
Cl9 0.812 0.699 0.133
Cl10 0.823 0.230 0.437
# - uncorrected formation energy (eV per atom) = -0.918
# - D(E_F) (states/eV/cell) = 8.94
# - DFT total energy (eV per cell) = -50.2

***

# MnCuAg2Cl8 | Alexandria | GGA-PBE | optimized geometry
data_MnCuAg2Cl8
_chemical_formula_sum 'Mn1 Cu1 Ag2 Cl8'
_symmetry_space_group_name_H-M 'P 1'
_symmetry_Int_Tables_number 1
_symmetry_space_group_name_Hall 'P 1'
_cell_length_a 7.370
_cell_length_b 7.370
_cell_length_c 7.370
_cell_angle_alpha 117.59
_cell_angle_beta 117.59
_cell_angle_gamma 94.22
loop_
_atom_site_label
_atom_site_fract_x
_atom_site_fract_y
_atom_site_fract_z
Mn1 0.000 0.000 0.000
Cu1 0.250 0.750 0.500
Ag1 0.500 0.500 0.000
Ag2 0.750 0.250 0.500
Cl1 0.299 0.087 0.788
Cl2 0.299 0.511 0.212
Cl3 0.338 0.052 0.286
Cl4 0.489 0.701 0.788
Cl5 0.765 0.052 0.714
Cl6 0.913 0.701 0.212
Cl7 0.948 0.235 0.286
Cl8 0.948 0.662 0.714
# - uncorrected formation energy (eV per atom) = -0.487
# - D(E_F) (states/eV/cell) = 9.93
# - DFT total energy (eV per cell) = -39.6

***

# MnCuAgCl5 | Alexandria | GGA-PBE | optimized geometry
data_MnCuAgCl5
_chemical_formula_sum 'Mn2 Cu2 Ag2 Cl10'
_symmetry_space_group_name_H-M 'P 1'
_symmetry_Int_Tables_number 1
_symmetry_space_group_name_Hall 'P 1'
_cell_length_a 6.477
_cell_length_b 6.477
_cell_length_c 10.587
_cell_angle_alpha 93.44
_cell_angle_beta 93.44
_cell_angle_gamma 105.08
loop_
_atom_site_label
_atom_site_fract_x
_atom_site_fract_y
_atom_site_fract_z
Mn1 0.090 0.910 0.750
Mn2 0.910 0.090 0.250
Cu1 0.428 0.572 0.750
Cu2 0.572 0.428 0.250
Ag1 0.000 0.500 0.000
Ag2 0.500 0.000 0.500
Cl1 0.126 0.874 0.250
Cl2 0.207 0.372 0.216
Cl3 0.229 0.696 0.590
Cl4 0.304 0.771 0.910
Cl5 0.372 0.207 0.716
Cl6 0.628 0.793 0.284
Cl7 0.696 0.229 0.090
Cl8 0.771 0.304 0.410
Cl9 0.793 0.628 0.784
Cl10 0.874 0.126 0.750
# - uncorrected formation energy (eV per atom) = -0.655
# - D(E_F) (states/eV/cell) = 6.29
# - DFT total energy (eV per cell) = -61.2